Material: NaCoGe
Method: DFT, GGA-PBE
State: optimized geometry

Results
- Space group: P2_1/m (11)
- E_form: -38 meV/atom

```
NaCoGe
1.0
3.6499 0.0000 -0.0001
0.0000 2.7911 -0.0106
0.0009 5.4809 10.5411
Co Na Ge
2 2 2
direct
0.1951 0.0725 0.0836
0.6951 0.8555 0.9380
0.6950 0.4240 0.6515
0.1949 0.5038 0.3701
0.1952 0.5119 0.8585
0.6951 0.4160 0.1631
```